# 1
The following is a PBE calculation of crystalline Ba2DyGaS5 at its relaxed geometry, from Alexandria via LeMat-Bulk.

a = 4.0615 Å, b = 9.4151 Å, c = 13.0221 Å
α = 90.00°, β = 90.00°, γ = 102.46°
Atoms (fractional coordinates):
S  0.4998  0.9996  0.7786
S  0.7038  0.4077  0.1650
S  0.2962  0.5923  0.6650
S  0.6526  0.3052  0.5077
S  0.3177  0.6355  0.3794
S  0.5002  0.0004  0.2786
S  0.0461  0.0922  0.0271
S  0.9539  0.9078  0.5271
S  0.6823  0.3645  0.8794
S  0.3474  0.6948  0.0077
Ba  0.8804  0.7607  0.1848
Ba  0.1196  0.2393  0.6848
Ba  0.8717  0.7435  0.8256
Ba  0.1283  0.2565  0.3256
Ga  0.4409  0.8818  0.4288
Ga  0.5591  0.1182  0.9288
Dy  0.2049  0.4098  0.0271
Dy  0.7951  0.5902  0.5271

## Properties
symmetry = Cmc2_1
E_form (uncorrected) = -1750 meV per atom
theoretical density = 4.56 g cm⁻³
D(E_F) = 0.0000 states/eV/atom


# 2
The following is a PBE calculation of crystalline Tb2Ag5 at its relaxed geometry, from Alexandria via LeMat-Bulk.

a = 6.0899 Å, b = 7.6271 Å, c = 8.1658 Å
α = 117.84°, β = 111.89°, γ = 90.00°
Atoms (fractional coordinates):
Ag  0.4708  0.7208  0.4415
Ag  0.5292  0.2792  0.5585
Ag  0.8665  0.6460  0.7330
Ag  0.9708  0.7208  0.4415
Ag  0.6335  0.9130  0.2670
Ag  0.0292  0.2792  0.5585
Ag  0.1335  0.3540  0.2670
Ag  0.3665  0.0870  0.7330
Ag  0.2500  0.5000  0.0000
Ag  0.7500  0.5000  0.0000
Tb  0.6017  0.2843  0.2034
Tb  0.3983  0.7157  0.7966
Tb  0.1017  0.9191  0.2034
Tb  0.8983  0.0809  0.7966

## Properties
symmetry = Ibam
ΔH_f (0 K) = -227.8 meV per atom
theoretical density = 9.36 g cm⁻³
D(E_F) = 0.6144 states/eV/atom


| no. | calculated total energy (eV per atom) | size of the total moment (μB/f.u.) |
| --- | --- | --- |
| 1 | -5.318 | 0.00 |
| 2 | -3.587 | 0.00 |